[1]
PmHoBe: optimized geometry, PBE.

Cell: 6.5296 6.5296 6.5296 Å, 148.83 148.83 44.66°
Fractional positions:
Pm: 0.0000 0.0000 0.0000
Ho: 0.2710 0.2710 0.0000
Be: 0.6451 0.6451 0.0000

As for the formation energy: 111 meV per atom.

---

[2]
AcSnI: optimized geometry, PBE.

Cell: 5.6350 5.6350 3.9496 Å, 90.00 90.00 120.00°
Fractional positions:
Ac: 0.0000 0.0000 0.0000
Sn: 0.6667 0.3333 0.5000
I: 0.3333 0.6667 0.0000

The energy above the lowest structure with this stoichiometry comes out at 0.473 eV per atom.

---

[3]
SrCr2Hg: optimized geometry, PBE.

Cell: 9.5675 9.5675 9.5675 Å, 21.82 21.82 21.82°
Fractional positions:
Sr: 0.0000 0.0000 0.0000
Cr: 0.2364 0.2364 0.2364
Cr: 0.7636 0.7636 0.7636
Hg: 0.5000 0.5000 0.5000

As for the formation energy: 875 meV per atom. The energy above the lowest structure with this stoichiometry comes out at 0.577 eV per atom.

---

no.,calculated total energy (eV for the cell shown)
1,-12.7
2,-11.2
3,-17.7